No. 1
# Hf3NbTl GGA-PBE optimized geometry
data_Hf3NbTl
_chemical_formula_sum 'Hf3 Nb1 Tl1'
_cell_length_a 5.108
_cell_length_b 5.108
_cell_length_c 5.108
_cell_angle_alpha 90.00
_cell_angle_beta 90.00
_cell_angle_gamma 90.00
_space_group_name_H-M_alt 'P 1'
_space_group_IT_number 1
loop_
_space_group_symop_operation_xyz
'x,y,z'
loop_
_atom_site_label
_atom_site_type_symbol
_atom_site_fract_x
_atom_site_fract_y
_atom_site_fract_z
Hf1 Hf 0.000 0.000 0.500
Hf2 Hf 0.500 0.000 0.000
Hf3 Hf 0.000 0.500 0.000
Nb1 Nb 0.000 0.000 0.000
Tl1 Tl 0.500 0.500 0.500
# **DOS at the Fermi energy**: 1.49 states/eV/atom
# **Energy**: -7.490 eV/atom
# **SG**: Pm-3m
# **Total magnetization**: 0.0 μB/cell



No. 2
# SrSbF5 GGA-PBE optimized geometry
data_SrSbF5
_chemical_formula_sum 'Sr4 Sb4 F20'
_cell_length_a 6.229
_cell_length_b 8.911
_cell_length_c 11.485
_cell_angle_alpha 90.00
_cell_angle_beta 90.00
_cell_angle_gamma 112.66
_space_group_name_H-M_alt 'P 1'
_space_group_IT_number 1
loop_
_space_group_symop_operation_xyz
'x,y,z'
loop_
_atom_site_label
_atom_site_type_symbol
_atom_site_fract_x
_atom_site_fract_y
_atom_site_fract_z
F1 F 0.505 0.343 0.184
F2 F 0.548 0.356 0.589
F3 F 0.050 0.788 0.635
F4 F 0.982 0.636 0.091
F5 F 0.518 0.864 0.591
F6 F 0.952 0.144 0.089
F7 F 0.838 0.469 0.408
F8 F 0.662 0.031 0.908
F9 F 0.550 0.288 0.865
F10 F 0.338 0.969 0.092
F11 F 0.048 0.856 0.911
F12 F 0.950 0.212 0.365
F13 F 0.452 0.644 0.411
F14 F 0.450 0.712 0.135
F15 F 0.482 0.136 0.409
F16 F 0.495 0.657 0.816
F17 F 0.162 0.531 0.592
F18 F 0.018 0.364 0.909
F19 F 0.005 0.843 0.316
F20 F 0.995 0.157 0.684
Sb1 Sb 0.232 0.736 0.497
Sb2 Sb 0.768 0.264 0.503
Sb3 Sb 0.268 0.764 0.997
Sb4 Sb 0.732 0.236 0.003
Sr1 Sr 0.687 0.612 0.252
Sr2 Sr 0.313 0.388 0.748
Sr3 Sr 0.187 0.112 0.248
Sr4 Sr 0.813 0.888 0.752
# **DOS at the Fermi energy**: 0.00 states/eV/atom
# **Energy**: -5.165 eV/atom
# **Raw formation energy**: -2.999 eV per atom
# **SG**: P2_1/c
# **Total magnetization**: 0.0 μB/cell



No. 3
# Tc2RuBr GGA-PBE optimized geometry
data_Tc2RuBr
_chemical_formula_sum 'Tc2 Ru1 Br1'
_cell_length_a 5.135
_cell_length_b 5.135
_cell_length_c 4.395
_cell_angle_alpha 88.37
_cell_angle_beta 88.37
_cell_angle_gamma 33.46
_space_group_name_H-M_alt 'P 1'
_space_group_IT_number 1
loop_
_space_group_symop_operation_xyz
'x,y,z'
loop_
_atom_site_label
_atom_site_type_symbol
_atom_site_fract_x
_atom_site_fract_y
_atom_site_fract_z
Br1 Br 0.250 0.250 0.250
Tc1 Tc 0.468 0.468 0.534
Tc2 Tc 0.032 0.032 0.966
Ru1 Ru 0.750 0.750 0.750
# **DOS at the Fermi energy**: 0.84 states/eV/atom
# **Energy**: -7.221 eV/atom
# **Raw formation energy**: 0.699 eV per atom
# **SG**: C2/m
# **Total magnetization**: 0.0 μB/cell



No. 4
# Li4SmHo3S8 GGA-PBE optimized geometry
data_Li4SmHo3S8
_chemical_formula_sum 'Li4 Sm1 Ho3 S8'
_cell_length_a 7.845
_cell_length_b 7.662
_cell_length_c 7.844
_cell_angle_alpha 120.82
_cell_angle_beta 120.01
_cell_angle_gamma 90.00
_space_group_name_H-M_alt 'P 1'
_space_group_IT_number 1
loop_
_space_group_symop_operation_xyz
'x,y,z'
loop_
_atom_site_label
_atom_site_type_symbol
_atom_site_fract_x
_atom_site_fract_y
_atom_site_fract_z
Ho1 Ho 0.500 0.500 0.000
Ho2 Ho 0.000 0.500 0.500
Ho3 Ho 0.500 0.500 0.500
S1 S 0.745 0.752 0.998
S2 S 0.254 0.752 0.998
S3 S 0.254 0.752 0.507
S4 S 0.255 0.248 0.002
S5 S 0.250 0.251 0.501
S6 S 0.746 0.248 0.493
S7 S 0.750 0.749 0.499
S8 S 0.746 0.248 0.002
Li1 Li 0.000 0.000 0.500
Li2 Li 0.500 0.000 0.500
Li3 Li 0.000 0.000 0.000
Li4 Li 0.500 0.000 0.000
Sm1 Sm 0.000 0.500 0.000
# **DOS at the Fermi energy**: 0.00 states/eV/atom
# **Energy**: -5.536 eV/atom
# **Raw formation energy**: -1.840 eV per atom
# **SG**: R-3m
# **Total magnetization**: 0.0 μB/cell



No. 5
# LiPrEr2 GGA-PBE optimized geometry
data_LiPrEr2
_chemical_formula_sum 'Li1 Pr1 Er2'
_cell_length_a 3.521
_cell_length_b 3.521
_cell_length_c 11.452
_cell_angle_alpha 81.16
_cell_angle_beta 81.16
_cell_angle_gamma 60.00
_space_group_name_H-M_alt 'P 1'
_space_group_IT_number 1
loop_
_space_group_symop_operation_xyz
'x,y,z'
loop_
_atom_site_label
_atom_site_type_symbol
_atom_site_fract_x
_atom_site_fract_y
_atom_site_fract_z
Pr1 Pr 0.500 0.500 0.500
Li1 Li 0.667 0.667 0.000
Er1 Er 0.079 0.079 0.763
Er2 Er 0.254 0.254 0.237
# **DOS at the Fermi energy**: 1.16 states/eV/atom
# **Energy**: -3.819 eV/atom
# **SG**: R3m
# **Total magnetization**: 0.0 μB/cell



No. 6
# Hf2TaCoSb GGA-PBE optimized geometry
data_Hf2TaCoSb
_chemical_formula_sum 'Hf2 Ta1 Co1 Sb1'
_cell_length_a 4.799
_cell_length_b 4.595
_cell_length_c 4.799
_cell_angle_alpha 90.00
_cell_angle_beta 90.00
_cell_angle_gamma 90.00
_space_group_name_H-M_alt 'P 1'
_space_group_IT_number 1
loop_
_space_group_symop_operation_xyz
'x,y,z'
loop_
_atom_site_label
_atom_site_type_symbol
_atom_site_fract_x
_atom_site_fract_y
_atom_site_fract_z
Hf1 Hf 0.000 0.000 0.500
Hf2 Hf 0.500 0.000 0.000
Ta1 Ta 0.000 0.500 0.000
Sb1 Sb 0.500 0.500 0.500
Co1 Co 0.000 0.000 0.000
# **DOS at the Fermi energy**: 0.94 states/eV/atom
# **Energy**: -8.486 eV/atom
# **Raw formation energy**: 0.112 eV per atom
# **SG**: P4/mmm
# **Total magnetization**: 0.0 μB/cell



No. 7
# Sr3Zn2Ag9 GGA-PBE optimized geometry
data_Sr3Zn2Ag9
_chemical_formula_sum 'Sr3 Zn2 Ag9'
_cell_length_a 4.730
_cell_length_b 8.736
_cell_length_c 8.736
_cell_angle_alpha 71.25
_cell_angle_beta 74.29
_cell_angle_gamma 74.29
_space_group_name_H-M_alt 'P 1'
_space_group_IT_number 1
loop_
_space_group_symop_operation_xyz
'x,y,z'
loop_
_atom_site_label
_atom_site_type_symbol
_atom_site_fract_x
_atom_site_fract_y
_atom_site_fract_z
Ag1 Ag 0.118 0.159 0.605
Ag2 Ag 0.882 0.841 0.395
Ag3 Ag 0.325 0.317 0.032
Ag4 Ag 0.000 0.500 0.500
Ag5 Ag 0.675 0.683 0.968
Ag6 Ag 0.118 0.605 0.159
Ag7 Ag 0.882 0.395 0.841
Ag8 Ag 0.675 0.968 0.683
Ag9 Ag 0.325 0.032 0.317
Zn1 Zn 0.500 0.275 0.725
Zn2 Zn 0.500 0.725 0.275
Sr1 Sr 0.000 0.000 0.000
Sr2 Sr 0.311 0.689 0.689
Sr3 Sr 0.689 0.311 0.311
# **DOS at the Fermi energy**: 0.26 states/eV/atom
# **Energy**: -2.578 eV/atom
# **SG**: Immm
# **Total magnetization**: 0.0 μB/cell



No. 8
# Tb2UTl3Te6 GGA-PBE optimized geometry
data_Tb2UTl3Te6
_chemical_formula_sum 'Tb2 U1 Tl3 Te6'
_cell_length_a 7.730
_cell_length_b 7.730
_cell_length_c 8.620
_cell_angle_alpha 98.60
_cell_angle_beta 98.60
_cell_angle_gamma 119.99
_space_group_name_H-M_alt 'P 1'
_space_group_IT_number 1
loop_
_space_group_symop_operation_xyz
'x,y,z'
loop_
_atom_site_label
_atom_site_type_symbol
_atom_site_fract_x
_atom_site_fract_y
_atom_site_fract_z
Te1 Te 0.072 0.408 0.216
Te2 Te 0.928 0.592 0.784
Te3 Te 0.592 0.928 0.784
Te4 Te 0.408 0.072 0.216
Te5 Te 0.736 0.736 0.215
Te6 Te 0.264 0.264 0.785
Tl1 Tl 0.834 0.166 0.500
Tl2 Tl 0.166 0.834 0.500
Tl3 Tl 0.500 0.500 0.500
Tb1 Tb 0.667 0.333 0.000
Tb2 Tb 0.333 0.667 0.000
U1 U 0.000 0.000 0.000
# **DOS at the Fermi energy**: 0.37 states/eV/atom
# **Energy**: -4.745 eV/atom
# **Raw formation energy**: -0.870 eV per atom
# **SG**: C2/m
# **Total magnetization**: 3.0 μB/cell